(1)
# Ac2BeSbO6

An optimized crystal structure of Ac2BeSbO6 (PBE-GGA, the Alexandria database).

Formation energy from raw total energies ... -2.41 eV per atom

CIF file:
```
data_Ac2BeSbO6
_cell_length_a 5.6694
_cell_length_b 8.0310
_cell_length_c 5.6693
_cell_angle_alpha 90.00
_cell_angle_beta 90.00
_cell_angle_gamma 90.00
_symmetry_space_group_name_H-M 'P m m n'
_symmetry_Int_Tables_number 59
loop_
_symmetry_equiv_pos_as_xyz
'x,y,z'
'-x,-y,-z'
'-x+1/2,-y+1/2,z'
'x+1/2,y+1/2,-z'
'x+1/2,-y,-z'
'-x+1/2,y,z'
'-x,y+1/2,-z'
'x,-y+1/2,z'
loop_
_atom_site_label
_atom_site_fract_x
_atom_site_fract_y
_atom_site_fract_z
Ac1 0.2500 0.0000 0.2497
Be1 0.2500 0.2500 0.7490
Sb1 0.2500 0.7500 0.7498
O1 0.0142 0.2500 0.5144
O2 0.0140 0.2500 0.9862
O3 0.2500 0.0137 0.7501
```

***

(2)
# KPrSO

An optimized crystal structure of KPrSO (PBE-GGA, the Alexandria database).

Formation energy from raw total energies ... -2.14 eV per atom

CIF file:
```
data_KPrSO
_cell_length_a 3.9222
_cell_length_b 3.9222
_cell_length_c 20.9492
_cell_angle_alpha 90.00
_cell_angle_beta 90.00
_cell_angle_gamma 120.00
_symmetry_space_group_name_H-M 'R 3 m'
_symmetry_Int_Tables_number 160
_symmetry_space_group_name_Hall 'R 3 -2"'
loop_
_atom_site_label
_atom_site_fract_x
_atom_site_fract_y
_atom_site_fract_z
K1 0.0000 0.0000 0.0000
Pr1 0.0000 0.0000 0.5150
S1 0.0000 0.0000 0.7643
O1 0.0000 0.0000 0.2289
```

***

(3)
# Rb2Si3SnO9

An optimized crystal structure of Rb2Si3SnO9 (PBE-GGA, the Alexandria database).

Formation energy from raw total energies ... -2.45 eV per atom

CIF file:
```
data_Rb2Si3SnO9
_cell_length_a 7.0974
_cell_length_b 7.0974
_cell_length_c 10.1961
_cell_angle_alpha 90.00
_cell_angle_beta 90.00
_cell_angle_gamma 120.00
_symmetry_space_group_name_H-M 'P 63/m'
_symmetry_Int_Tables_number 176
_symmetry_space_group_name_Hall '-P 6c'
loop_
_atom_site_label
_atom_site_fract_x
_atom_site_fract_y
_atom_site_fract_z
Rb1 0.3333 0.6667 0.0608
Si1 0.1395 0.3842 0.7500
Sn1 0.0000 0.0000 0.0000
O1 0.0356 0.2573 0.6140
O2 0.0887 0.5910 0.7500
```

***

(4)
# Pm7Zn2Ga2

An optimized crystal structure of Pm7Zn2Ga2 (PBE-GGA, the Alexandria database).

Energy of formation ... -82 meV per atom

CIF file:
```
data_Pm7Zn2Ga2
_cell_length_a 7.6527
_cell_length_b 11.0034
_cell_length_c 7.6480
_cell_angle_alpha 90.00
_cell_angle_beta 90.00
_cell_angle_gamma 90.00
_symmetry_space_group_name_H-M 'C m m m'
_symmetry_Int_Tables_number 65
_symmetry_space_group_name_Hall '-C 2 2'
loop_
_atom_site_label
_atom_site_fract_x
_atom_site_fract_y
_atom_site_fract_z
Pm1 0.0000 0.0000 0.0000
Pm2 0.0000 0.5000 0.2592
Pm3 0.2500 0.2500 0.2865
Zn1 0.0000 0.2892 0.0000
Ga1 0.1667 0.0000 0.5000
```

***

(5)
# AlGe3Bi

An optimized crystal structure of AlGe3Bi (PBE-GGA, the Alexandria database).

Relative energy among the computed polymorphs ... 0.000 eV per atom
Energy of formation ... 446 meV per atom

CIF file:
```
data_AlGe3Bi
_cell_length_a 4.9516
_cell_length_b 4.9516
_cell_length_c 4.9516
_cell_angle_alpha 90.00
_cell_angle_beta 90.00
_cell_angle_gamma 90.00
_symmetry_space_group_name_H-M 'P m -3 m'
_symmetry_Int_Tables_number 221
_symmetry_space_group_name_Hall '-P 4 2 3'
loop_
_atom_site_label
_atom_site_fract_x
_atom_site_fract_y
_atom_site_fract_z
Al1 0.0000 0.0000 0.0000
Ge1 0.0000 0.0000 0.5000
Bi1 0.5000 0.5000 0.5000
```

***

(6)
# LiYAsRh

An optimized crystal structure of LiYAsRh (PBE-GGA, the Alexandria database).

Energy of formation ... -778 meV per atom

CIF file:
```
data_LiYAsRh
_cell_length_a 6.4454
_cell_length_b 6.4454
_cell_length_c 6.4454
_cell_angle_alpha 90.00
_cell_angle_beta 90.00
_cell_angle_gamma 90.00
_symmetry_space_group_name_H-M 'F -4 3 m'
_symmetry_Int_Tables_number 216
_symmetry_space_group_name_Hall 'F -4 2 3'
loop_
_atom_site_label
_atom_site_fract_x
_atom_site_fract_y
_atom_site_fract_z
Li1 0.0000 0.0000 0.0000
Y1 0.2500 0.2500 0.2500
As1 0.2500 0.2500 0.7500
Rh1 0.0000 0.0000 0.5000
```

***

(7)
# LiY2CuRh2

An optimized crystal structure of LiY2CuRh2 (PBE-GGA, the Alexandria database).

Energy of formation ... -535 meV per atom

CIF file:
```
data_LiY2CuRh2
_cell_length_a 5.5931
_cell_length_b 14.3856
_cell_length_c 5.5731
_cell_angle_alpha 90.00
_cell_angle_beta 90.00
_cell_angle_gamma 90.00
_symmetry_space_group_name_H-M 'I b a m'
_symmetry_Int_Tables_number 72
_symmetry_space_group_name_Hall '-I 2 2c'
loop_
_atom_site_label
_atom_site_fract_x
_atom_site_fract_y
_atom_site_fract_z
Li1 0.0000 0.0000 0.2500
Y1 0.2384 0.3304 0.0000
Cu1 0.0000 0.5000 0.2500
Rh1 0.2424 0.1245 0.0000
```

***

(8)
# Ho6ErTm

An optimized crystal structure of Ho6ErTm (PBE-GGA, the Alexandria database).

Relative energy among the computed polymorphs ... 0.000 eV per atom
Energy of formation ... 22 meV per atom

CIF file:
```
data_Ho6ErTm
_cell_length_a 6.0725
_cell_length_b 6.0749
_cell_length_c 7.0195
_cell_angle_alpha 106.71
_cell_angle_beta 90.06
_cell_angle_gamma 99.65
_symmetry_space_group_name_H-M 'P -1'
_symmetry_Int_Tables_number 2
loop_
_symmetry_equiv_pos_as_xyz
'x,y,z'
'-x,-y,-z'
loop_
_atom_site_label
_atom_site_fract_x
_atom_site_fract_y
_atom_site_fract_z
Ho1 0.0000 0.9996 0.2499
Ho2 0.2503 0.5002 0.1250
Ho3 0.2499 0.5006 0.6253
Er1 0.5000 0.0000 0.5000
Tm1 0.5000 0.0000 0.0000
```

***

Number 1: V 12.9 A^3/atom. Number 2: V 23.3 A^3/atom. Number 3: V 14.8 A^3/atom. Number 4: V 29.3 A^3/atom. Number 5: V 24.3 A^3/atom. Number 6: V 16.7 A^3/atom. Number 7: V 18.7 A^3/atom. Number 8: V 30.5 A^3/atom.